The following is a PBE calculation of a relaxed structure of LaRuIN2, from Alexandria.

distance to the lowest polymorph of the same formula	0	meV/atom
formation energy without anion corrections	463.0	meV per atom
size of the total moment	0.00	μB per formula unit

a b c (Å): 4.1926 4.1926 5.1821
angles (deg): 90.00 90.00 90.00
Space group P4/mmm (No. 123)
Asymmetric unit:
La (0.0000, 0.0000, 0.0000)
Ru (0.5000, 0.5000, 0.5000)
I (0.5000, 0.5000, 0.0000)
N (0.0000, 0.5000, 0.5000)